## P
NaLi2Cr2 | PBE | relaxed

Output
As for the space group: P4/mbm (127).

Unit cell a=8.0851 b=8.0851 c=2.6097 alpha=90.00 beta=90.00 gamma=90.00
Fractional positions:
Na1 0.0000 0.0000 0.0000
Na2 0.5000 0.5000 0.0000
Li1 0.2022 0.2978 0.0000
Li2 0.2978 0.7978 0.0000
Li3 0.7022 0.2022 0.0000
Li4 0.7978 0.7022 0.0000
Cr1 0.0813 0.5813 0.5000
Cr2 0.4187 0.0813 0.5000
Cr3 0.5813 0.9187 0.5000
Cr4 0.9187 0.4187 0.5000


## Q
NaLi2Cr2 | PBE | relaxed

Output
As for the space group: I4/mmm (139).

Unit cell a=10.5824 b=10.5824 c=10.5824 alpha=162.88 beta=162.88 gamma=24.30
Fractional positions:
Na1 0.0000 0.0000 0.0000
Li1 0.3649 0.3649 0.0000
Li2 0.6351 0.6351 0.0000
Cr1 0.2500 0.7500 0.5000
Cr2 0.7500 0.2500 0.5000


The computed energies, referenced to the most stable structure and given in eV/atom, are P 0.077; Q 0.000.